An optimized crystal structure of ScC2F. Source: Alexandria via LeMat-Bulk, functional PBEsol.

Summary:
The density of states at the Fermi level is 0.822 states/eV/f.u. The calculation puts the magnetization at 0.000 μB/atom. As for the raw total energy: -7.263 eV per atom. As for the space-group type: I4_1/amd.

Structure (POSCAR):
```
ScC2F
1.0
-1.657 -1.385 1.867
1.794 -2.220 -0.054
4.925 5.660 6.387
F C Sc
2 4 2
Cartesian
1.668 1.236 4.580
0.069 -1.802 0.906
4.160 3.239 5.003
1.766 -1.393 2.716
0.869 -0.283 2.743
3.331 2.547 5.937
0.000 0.000 0.000
3.394 0.819 3.619
```

An optimized crystal structure of Sc2CF. Source: Alexandria via LeMat-Bulk, functional PBEsol.

Summary:
The density of states at the Fermi level is 2.440 states/eV/f.u. The calculation puts the magnetization at 0.000 μB/atom. As for the raw total energy: -7.821 eV per atom. As for the space-group type: R-3m.

Structure (POSCAR):
```
Sc2CF
1.0
3.416 0.000 0.000
1.708 2.958 0.000
1.708 0.986 6.348
F C Sc
1 1 2
Cartesian
0.000 0.000 0.000
3.416 1.972 3.174
1.708 0.986 4.300
5.124 2.958 2.048
```

An optimized crystal structure of Sc2CSeF. Source: Alexandria via LeMat-Bulk, functional PBEsol.

Summary:
The density of states at the Fermi level is 2.449 states/eV/f.u. The calculation puts the magnetization at 0.000 μB/atom. As for the raw total energy: -6.050 eV per atom. As for the space-group type: P4/mmm.

Structure (POSCAR):
```
Sc2CSeF
1.0
3.539 0.000 0.000
0.000 4.519 0.000
0.000 0.000 4.519
Sc C Se F
2 1 1 1
Cartesian
0.000 0.000 2.259
0.000 2.259 0.000
1.769 0.000 0.000
1.769 2.259 2.259
0.000 0.000 0.000
```

An optimized crystal structure of CSe3F. Source: Alexandria via LeMat-Bulk, functional PBEsol.

Summary:
The density of states at the Fermi level is 3.883 states/eV/f.u. The calculation puts the magnetization at 0.000 μB/atom. As for the raw total energy: -3.762 eV per atom. As for the space-group type: Pm-3m.

Structure (POSCAR):
```
CSe3F
1.0
-2.012 3.537 -1.406
-1.431 0.770 3.987
3.527 2.331 0.815
Se F C
3 1 1
Cartesian
-0.715 0.385 1.993
-1.006 1.768 -0.703
1.763 1.165 0.408
0.042 3.319 1.698
0.000 0.000 0.000
```

An optimized crystal structure of YC2SeF. Source: Alexandria via LeMat-Bulk, functional PBEsol.

Summary:
The density of states at the Fermi level is 2.792 states/eV/f.u. The calculation puts the magnetization at 0.000 μB/atom. As for the raw total energy: -5.291 eV per atom. As for the space-group type: P4/mmm.

Structure (POSCAR):
```
YC2SeF
1.0
4.185 0.000 0.000
0.000 4.185 0.000
0.000 0.000 4.221
Y F C Se
1 1 2 1
Cartesian
0.000 0.000 2.110
0.000 0.000 0.000
0.000 2.092 0.000
2.092 0.000 0.000
2.092 2.092 2.110
```

An optimized crystal structure of SiCF3. Source: Alexandria via LeMat-Bulk, functional PBEsol.

Summary:
The density of states at the Fermi level is 5.342 states/eV/f.u. The calculation puts the magnetization at 0.401 μB/atom. As for the raw total energy: -4.434 eV per atom. As for the space-group type: Pm-3m.

Structure (POSCAR):
```
SiCF3
1.0
-0.559 2.646 -2.685
-1.506 -2.645 -2.293
-3.456 0.725 1.434
F C Si
3 1 1
Cartesian
-2.481 -0.960 -0.430
-1.033 0.001 -2.489
-2.007 1.686 -0.626
0.000 0.000 0.000
-2.760 0.363 -1.772
```

An optimized crystal structure of SnCF3. Source: Alexandria via LeMat-Bulk, functional PBEsol.

Summary:
The density of states at the Fermi level is 1.613 states/eV/f.u. The calculation puts the magnetization at 0.142 μB/atom. As for the raw total energy: -4.117 eV per atom. As for the space-group type: Pm-3m.

Structure (POSCAR):
```
SnCF3
1.0
3.991 0.000 0.000
0.000 3.991 0.000
0.000 0.000 3.991
F Sn C
3 1 1
Cartesian
0.000 1.996 0.000
0.000 0.000 1.996
1.996 0.000 0.000
1.996 1.996 1.996
0.000 0.000 0.000
```

An optimized crystal structure of SrC3F. Source: Alexandria via LeMat-Bulk, functional PBEsol.

Summary:
The density of states at the Fermi level is 10.097 states/eV/f.u. The calculation puts the magnetization at 1.400 μB/atom. As for the raw total energy: -2.974 eV per atom. As for the space-group type: Pm-3m.

Structure (POSCAR):
```
SrC3F
1.0
5.243 0.000 0.000
0.000 5.243 0.000
0.000 0.000 5.243
F C Sr
1 3 1
Cartesian
2.622 2.622 2.622
2.622 0.000 0.000
0.000 2.622 0.000
0.000 0.000 2.622
0.000 0.000 0.000
```

An optimized crystal structure of TaC3F. Source: Alexandria via LeMat-Bulk, functional PBEsol.

Summary:
The density of states at the Fermi level is 1.813 states/eV/f.u. The calculation puts the magnetization at 0.000 μB/atom. As for the raw total energy: -6.487 eV per atom. As for the space-group type: Pm-3m.

Structure (POSCAR):
```
TaC3F
1.0
-1.815 2.842 -1.164
-1.826 0.089 3.064
2.470 2.155 1.410
F C Ta
1 3 1
Cartesian
0.000 0.000 0.000
1.235 1.077 0.705
-0.913 0.044 1.532
-0.908 1.421 -0.582
-0.586 2.543 1.654
```

An optimized crystal structure of Ta2CF. Source: Alexandria via LeMat-Bulk, functional PBEsol.

Summary:
The density of states at the Fermi level is 3.121 states/eV/f.u. The calculation puts the magnetization at 0.000 μB/atom. As for the raw total energy: -9.299 eV per atom. As for the space-group type: I-42d.

Structure (POSCAR):
```
Ta2CF
1.0
5.101 0.000 0.000
-2.550 5.169 0.038
0.000 2.484 4.455
Ta C F
4 2 2
Cartesian
-1.064 6.050 3.927
3.826 2.742 2.610
1.275 1.705 0.750
1.064 4.808 1.699
2.550 1.242 2.228
0.000 3.205 1.133
0.000 0.000 0.000
2.550 4.447 3.360
```

An optimized crystal structure of TcCF3. Source: Alexandria via LeMat-Bulk, functional PBEsol.

Summary:
The density of states at the Fermi level is 7.324 states/eV/f.u. The calculation puts the magnetization at 0.923 μB/atom. As for the raw total energy: -5.096 eV per atom. As for the space-group type: Pm-3m.

Structure (POSCAR):
```
TcCF3
1.0
4.018 0.000 0.000
0.000 4.018 0.000
0.000 0.000 4.018
C F Tc
1 3 1
Cartesian
2.009 2.009 2.009
2.009 0.000 0.000
0.000 0.000 2.009
0.000 2.009 0.000
0.000 0.000 0.000
```

An optimized crystal structure of Tc3CF. Source: Alexandria via LeMat-Bulk, functional PBEsol.

Summary:
The density of states at the Fermi level is 6.487 states/eV/f.u. The calculation puts the magnetization at 0.618 μB/atom. As for the raw total energy: -6.944 eV per atom. As for the space-group type: Pm-3m.

Structure (POSCAR):
```
Tc3CF
1.0
-1.792 -2.726 -2.363
-0.685 -2.333 3.211
-3.542 1.830 0.574
Tc C F
3 1 1
Cartesian
-0.343 -1.166 1.606
-0.896 -1.363 -1.181
-1.771 0.915 0.287
-3.009 -1.614 0.711
0.000 0.000 0.000
```

An optimized crystal structure of Ti2CF. Source: Alexandria via LeMat-Bulk, functional PBEsol.

Summary:
The density of states at the Fermi level is 2.127 states/eV/f.u. The calculation puts the magnetization at 0.000 μB/atom. As for the raw total energy: -8.008 eV per atom. As for the space-group type: Fm-3m.

Structure (POSCAR):
```
Ti2CF
1.0
3.817 0.000 0.000
1.909 3.306 0.000
1.909 1.102 3.117
Ti C F
2 1 1
Cartesian
1.909 1.102 0.779
5.726 3.306 2.338
0.000 0.000 0.000
3.817 2.204 1.558
```

An optimized crystal structure of TiC2F. Source: Alexandria via LeMat-Bulk, functional PBEsol.

Summary:
The density of states at the Fermi level is 2.022 states/eV/f.u. The calculation puts the magnetization at 0.000 μB/atom. As for the raw total energy: -7.592 eV per atom. As for the space-group type: I4_1/amd.

Structure (POSCAR):
```
TiC2F
1.0
2.889 0.000 0.000
0.000 2.889 0.000
-1.445 -1.445 8.482
C F Ti
4 2 2
Cartesian
0.000 2.167 2.120
-0.722 1.445 6.361
0.722 1.445 6.361
0.000 0.722 2.120
1.445 1.445 0.000
1.445 0.000 4.241
0.000 0.000 0.000
0.000 1.445 4.241
```